Density functional theory data (GGA-PBE) for a relaxed structure of LiCeDyMg.

## Properties
Calculated density: 5.1 Mg/m³
Energy of formation: 0.132 eV/atom

Unit cell a=7.569 b=7.569 c=7.569 alpha=90.00 beta=90.00 gamma=90.00
Fractional coordinates of all 16 atoms:
Li  0.000  0.000  0.000
Li  0.000  0.500  0.500
Li  0.500  0.000  0.500
Li  0.500  0.500  0.000
Ce  0.250  0.250  0.750
Ce  0.250  0.750  0.250
Ce  0.750  0.250  0.250
Ce  0.750  0.750  0.750
Dy  0.250  0.250  0.250
Dy  0.250  0.750  0.750
Dy  0.750  0.250  0.750
Dy  0.750  0.750  0.250
Mg  0.000  0.000  0.500
Mg  0.000  0.500  0.000
Mg  0.500  0.000  0.000
Mg  0.500  0.500  0.500